(1)
## KBeTl (GGA-PBE)

Data for a relaxed structure of KBeTl.

The structure in CIF format:
```
data_KBeTl
_symmetry_space_group_name_H-M 'F -4 3 m'
_symmetry_Int_Tables_number 216
_symmetry_space_group_name_Hall 'F -4 2 3'
_cell_length_a 7.344
_cell_length_b 7.344
_cell_length_c 7.344
_cell_angle_alpha 90.00
_cell_angle_beta 90.00
_cell_angle_gamma 90.00
loop_
_atom_site_label
_atom_site_fract_x
_atom_site_fract_y
_atom_site_fract_z
K1 0.000 0.000 0.000
Be1 0.000 0.000 0.500
Tl1 0.250 0.250 0.250
```



(2)
## KBeTl2 (GGA-PBE)

Data for a relaxed structure of KBeTl2.

The structure in CIF format:
```
data_KBeTl2
_symmetry_space_group_name_H-M 'F -4 3 m'
_symmetry_Int_Tables_number 216
_symmetry_space_group_name_Hall 'F -4 2 3'
_cell_length_a 7.631
_cell_length_b 7.631
_cell_length_c 7.631
_cell_angle_alpha 90.00
_cell_angle_beta 90.00
_cell_angle_gamma 90.00
loop_
_atom_site_label
_atom_site_fract_x
_atom_site_fract_y
_atom_site_fract_z
K1 0.000 0.000 0.000
Be1 0.250 0.250 0.750
Tl1 0.000 0.000 0.500
Tl2 0.250 0.250 0.250
```



(3)
## KBe2Tl2 (GGA-PBE)

Data for a relaxed structure of KBe2Tl2.

The structure in CIF format:
```
data_KBe2Tl2
_symmetry_space_group_name_H-M 'P 4/m b m'
_symmetry_Int_Tables_number 127
_symmetry_space_group_name_Hall '-P 4 2ab'
_cell_length_a 8.238
_cell_length_b 8.238
_cell_length_c 3.418
_cell_angle_alpha 90.00
_cell_angle_beta 90.00
_cell_angle_gamma 90.00
loop_
_atom_site_label
_atom_site_fract_x
_atom_site_fract_y
_atom_site_fract_z
K1 0.000 0.000 0.000
Be1 0.098 0.402 0.000
Tl1 0.169 0.669 0.500
```



(4)
## K2BeTl (GGA-PBE)

Data for a relaxed structure of K2BeTl.

The structure in CIF format:
```
data_K2BeTl
_symmetry_space_group_name_H-M 'C m m 2'
_symmetry_Int_Tables_number 35
_cell_length_a 4.843
_cell_length_b 6.121
_cell_length_c 10.256
_cell_angle_alpha 90.00
_cell_angle_beta 90.00
_cell_angle_gamma 90.00
loop_
_symmetry_equiv_pos_as_xyz
'x,y,z'
'-x,-y,z'
'-x,y,z'
'x,-y,z'
'x+1/2,y+1/2,z'
'-x+1/2,-y+1/2,z'
'-x+1/2,y+1/2,z'
'x+1/2,-y+1/2,z'
loop_
_atom_site_label
_atom_site_fract_x
_atom_site_fract_y
_atom_site_fract_z
K1 0.000 0.000 0.000
K2 0.000 0.500 0.397
Be1 0.000 0.000 0.671
Tl1 0.000 0.500 0.729
```



(5)
## KBeTl2 (GGA-PBE)

Data for a relaxed structure of KBeTl2.

The structure in CIF format:
```
data_KBeTl2
_symmetry_space_group_name_H-M 'P 1 2/m 1'
_symmetry_Int_Tables_number 10
_cell_length_a 3.397
_cell_length_b 4.100
_cell_length_c 8.158
_cell_angle_alpha 90.00
_cell_angle_beta 101.75
_cell_angle_gamma 90.00
loop_
_symmetry_equiv_pos_as_xyz
'x,y,z'
'-x,-y,-z'
'-x,y,-z'
'x,-y,z'
loop_
_atom_site_label
_atom_site_fract_x
_atom_site_fract_y
_atom_site_fract_z
K1 0.000 0.000 0.000
Be1 0.000 0.000 0.500
Tl1 0.346 0.500 0.685
```



(6)
## KBe2Tl2 (GGA-PBE)

Data for a relaxed structure of KBe2Tl2.

The structure in CIF format:
```
data_KBe2Tl2
_symmetry_space_group_name_H-M 'P 4/m m m'
_symmetry_Int_Tables_number 123
_symmetry_space_group_name_Hall '-P 4 2'
_cell_length_a 5.554
_cell_length_b 5.554
_cell_length_c 6.288
_cell_angle_alpha 90.00
_cell_angle_beta 90.00
_cell_angle_gamma 90.00
loop_
_atom_site_label
_atom_site_fract_x
_atom_site_fract_y
_atom_site_fract_z
K1 0.000 0.000 0.000
Be1 0.000 0.500 0.000
Tl1 0.000 0.000 0.500
Tl2 0.500 0.500 0.500
```



(7)
## KBeTl2 (GGA-PBE)

Data for a relaxed structure of KBeTl2.

The structure in CIF format:
```
data_KBeTl2
_symmetry_space_group_name_H-M 'I 41/a m d'
_symmetry_Int_Tables_number 141
_cell_length_a 6.516
_cell_length_b 6.516
_cell_length_c 14.208
_cell_angle_alpha 90.00
_cell_angle_beta 90.00
_cell_angle_gamma 90.00
loop_
_symmetry_equiv_pos_as_xyz
'x,y,z'
'-x,-y,-z'
'-y+1/4,x+3/4,z+1/4'
'y+1/4,-x+3/4,-z+1/4'
'-x+1/2,-y,z+1/2'
'x+1/2,y,-z+1/2'
'y+1/4,-x+1/4,z+3/4'
'-y+1/4,x+1/4,-z+3/4'
'x,-y,-z'
'-x,y,z'
'-y+1/4,-x+1/4,-z+3/4'
'y+1/4,x+1/4,z+3/4'
'-x+1/2,y,-z+1/2'
'x+1/2,-y,z+1/2'
'y+1/4,x+3/4,-z+1/4'
'-y+1/4,-x+3/4,z+1/4'
'x+1/2,y+1/2,z+1/2'
'-x+1/2,-y+1/2,-z+1/2'
'-y+3/4,x+1/4,z+3/4'
'y+3/4,-x+1/4,-z+3/4'
'-x,-y+1/2,z'
'x,y+1/2,-z'
'y+3/4,-x+3/4,z+1/4'
'-y+3/4,x+3/4,-z+1/4'
'x+1/2,-y+1/2,-z+1/2'
'-x+1/2,y+1/2,z+1/2'
'-y+3/4,-x+3/4,-z+1/4'
'y+3/4,x+3/4,z+1/4'
'-x,y+1/2,-z'
'x,-y+1/2,z'
'y+3/4,x+1/4,-z+3/4'
'-y+3/4,-x+1/4,z+3/4'
loop_
_atom_site_label
_atom_site_fract_x
_atom_site_fract_y
_atom_site_fract_z
K1 0.000 0.250 0.375
Be1 0.000 0.250 0.875
Tl1 0.000 0.000 0.000
```



(8)
## KBeTl (GGA-PBE)

Data for a relaxed structure of KBeTl.

The structure in CIF format:
```
data_KBeTl
_symmetry_space_group_name_H-M 'P 3 m 1'
_symmetry_Int_Tables_number 156
_cell_length_a 4.3610
_cell_length_b 4.3610
_cell_length_c 5.5429
_cell_angle_alpha 90.00
_cell_angle_beta 90.00
_cell_angle_gamma 120.00
loop_
_symmetry_equiv_pos_as_xyz
'x,y,z'
'-y,x-y,z'
'-x+y,-x,z'
'-y,-x,z'
'-x+y,y,z'
'x,x-y,z'
loop_
_atom_site_label
_atom_site_fract_x
_atom_site_fract_y
_atom_site_fract_z
K1 0.0000 0.0000 0.0000
Be1 0.6667 0.3333 0.4986
Tl1 0.3333 0.6667 0.4999
```



Number 1: distance to the lowest polymorph of the same formula 395 meV/atom, E -1.575 eV/atom. Number 2: distance to the lowest polymorph of the same formula 280 meV/atom, E -1.869 eV/atom. Number 3: distance to the lowest polymorph of the same formula 120 meV/atom, E -2.061 eV/atom. Number 4: distance to the lowest polymorph of the same formula 136 meV/atom, E -1.677 eV/atom. Number 5: distance to the lowest polymorph of the same formula 59 meV/atom, E -2.090 eV/atom. Number 6: distance to the lowest polymorph of the same formula 1098 meV/atom, E -1.083 eV/atom. Number 7: distance to the lowest polymorph of the same formula 91 meV/atom, E -2.058 eV/atom. Number 8: distance to the lowest polymorph of the same formula 0 meV/atom, E -1.971 eV/atom.